Below is CdIrRh after structural relaxation, with properties calculated at the PBE level.

Geometry as extended XYZ:
```
6
Lattice="2.822 0.000 0.000 0.000 2.822 0.000 0.000 0.000 12.158" Properties=species:S:1:pos:R:3 pbc="T T T"
Cd 0.000 0.000 0.000
Cd 1.411 1.411 6.079
Ir 0.000 0.000 3.895
Ir 1.411 1.411 9.974
Rh 0.000 0.000 8.235
Rh 1.411 1.411 2.156
```

Properties
Energy above the most stable polymorph in this dataset in eV per atom: 0.0052
Space-group type: I4mm, No. 107

Below is CdIr2Rh after structural relaxation, with properties calculated at the PBE level.

Geometry as extended XYZ:
```
8
Lattice="2.768 0.000 0.000 0.000 4.802 0.000 0.000 0.000 9.541" Properties=species:S:1:pos:R:3 pbc="T T T"
Cd 0.000 0.000 0.000
Cd 1.384 2.401 0.000
Ir 0.000 2.401 2.492
Ir 0.000 2.401 7.049
Ir 1.384 0.000 2.492
Ir 1.384 0.000 7.049
Rh 0.000 0.000 4.770
Rh 1.384 2.401 4.770
```

Properties
Space-group type: Cmmm, No. 65

What are the energy of formation from the pure elements values for these records? In order: 0.059, 0.310 eV/atom.
What are the electronic total energy values for these records? In order: -5.650, -6.187 eV/atom.